# Cs2HRu2, relaxed, DFT GGA-PBE
# Raw total energy ... -3.357 eV/atom
data_Cs2HRu2
_chemical_formula_sum 'Cs4 H2 Ru4'
_symmetry_space_group_name_H-M 'I 4/m m m'
_symmetry_Int_Tables_number 139
_symmetry_space_group_name_Hall '-I 4 2'
_cell_length_a 6.541
_cell_length_b 6.541
_cell_length_c 6.711
_cell_angle_alpha 90.00
_cell_angle_beta 90.00
_cell_angle_gamma 90.00
loop_
_atom_site_label
_atom_site_fract_x
_atom_site_fract_y
_atom_site_fract_z
Cs1 0.000 0.500 0.250
H1 0.000 0.000 0.000
Ru1 0.000 0.000 0.335

---

# Cs3H7Ru, relaxed, DFT GGA-PBE
# Raw total energy ... -3.447 eV/atom
data_Cs3H7Ru
_chemical_formula_sum 'Cs6 H14 Ru2'
_symmetry_space_group_name_H-M 'C 1 m 1'
_symmetry_Int_Tables_number 8
_symmetry_space_group_name_Hall 'C -2y'
_cell_length_a 8.894
_cell_length_b 9.023
_cell_length_c 6.563
_cell_angle_alpha 90.00
_cell_angle_beta 132.53
_cell_angle_gamma 90.00
loop_
_atom_site_label
_atom_site_fract_x
_atom_site_fract_y
_atom_site_fract_z
Cs1 0.000 0.000 0.000
Cs2 0.491 0.250 0.499
H1 0.039 0.321 0.000
H2 0.167 0.500 0.360
H3 0.177 0.500 0.000
H4 0.308 0.000 0.639
H5 0.333 0.104 0.999
Ru1 0.487 0.000 0.000

---

# CsH8Ru2, relaxed, DFT GGA-PBE
# Raw total energy ... -4.146 eV/atom
data_CsH8Ru2
_chemical_formula_sum 'Cs1 H8 Ru2'
_symmetry_space_group_name_H-M 'P 3 1 m'
_symmetry_Int_Tables_number 157
_symmetry_space_group_name_Hall 'P 3 -2'
_cell_length_a 4.9083
_cell_length_b 4.9083
_cell_length_c 6.0904
_cell_angle_alpha 90.00
_cell_angle_beta 90.00
_cell_angle_gamma 120.00
loop_
_atom_site_label
_atom_site_fract_x
_atom_site_fract_y
_atom_site_fract_z
Cs1 0.0000 0.0000 0.0000
H1 0.0000 0.3517 0.3789
H2 0.0000 0.6830 0.6020
H3 0.3333 0.6667 0.7716
Ru1 0.3333 0.6667 0.5124

---

# CsH4Ru, relaxed, DFT GGA-PBE
# Raw total energy ... -3.988 eV/atom
data_CsH4Ru
_chemical_formula_sum 'Cs4 H16 Ru4'
_symmetry_space_group_name_H-M 'C 1 2/m 1'
_symmetry_Int_Tables_number 12
_symmetry_space_group_name_Hall '-C 2y'
_cell_length_a 12.134
_cell_length_b 6.628
_cell_length_c 4.980
_cell_angle_alpha 90.00
_cell_angle_beta 101.24
_cell_angle_gamma 90.00
loop_
_atom_site_label
_atom_site_fract_x
_atom_site_fract_y
_atom_site_fract_z
Cs1 0.177 0.000 0.189
H1 0.000 0.319 0.000
H2 0.085 0.351 0.544
H3 0.161 0.500 0.222
Ru1 0.032 0.500 0.272

---

# Cs3H6Ru, relaxed, DFT GGA-PBE
# Raw total energy ... -3.319 eV/atom
data_Cs3H6Ru
_chemical_formula_sum 'Cs6 H12 Ru2'
_symmetry_space_group_name_H-M 'C 1 2/m 1'
_symmetry_Int_Tables_number 12
_symmetry_space_group_name_Hall '-C 2y'
_cell_length_a 11.253
_cell_length_b 6.499
_cell_length_c 6.499
_cell_angle_alpha 90.00
_cell_angle_beta 125.24
_cell_angle_gamma 90.00
loop_
_atom_site_label
_atom_site_fract_x
_atom_site_fract_y
_atom_site_fract_z
Cs1 0.000 0.000 0.000
Cs2 0.250 0.000 0.750
H1 0.001 0.311 0.312
H2 0.189 0.500 0.690
Ru1 0.000 0.500 0.500

---

# CsH2Ru, relaxed, DFT GGA-PBE
# Raw total energy ... -3.789 eV/atom
data_CsH2Ru
_chemical_formula_sum 'Cs4 H8 Ru4'
_symmetry_space_group_name_H-M 'I -4 2 d'
_symmetry_Int_Tables_number 122
_symmetry_space_group_name_Hall 'I -4 2bw'
_cell_length_a 5.765
_cell_length_b 5.765
_cell_length_c 8.178
_cell_angle_alpha 90.00
_cell_angle_beta 90.00
_cell_angle_gamma 90.00
loop_
_atom_site_label
_atom_site_fract_x
_atom_site_fract_y
_atom_site_fract_z
Cs1 0.000 0.000 0.000
H1 0.002 0.250 0.625
Ru1 0.000 0.000 0.500

---

# Cs2TeHRu, relaxed, DFT GGA-PBE
# Raw total energy ... -3.206 eV/atom
data_Cs2TeHRu
_chemical_formula_sum 'Cs2 Te1 H1 Ru1'
_symmetry_space_group_name_H-M 'P 4/m m m'
_symmetry_Int_Tables_number 123
_symmetry_space_group_name_Hall '-P 4 2'
_cell_length_a 6.900
_cell_length_b 6.900
_cell_length_c 3.529
_cell_angle_alpha 90.00
_cell_angle_beta 90.00
_cell_angle_gamma 90.00
loop_
_atom_site_label
_atom_site_fract_x
_atom_site_fract_y
_atom_site_fract_z
Cs1 0.000 0.500 0.000
Te1 0.000 0.000 0.500
H1 0.500 0.500 0.000
Ru1 0.500 0.500 0.500

---

# CsTeH2Ru, relaxed, DFT GGA-PBE
# Raw total energy ... -3.296 eV/atom
data_CsTeH2Ru
_chemical_formula_sum 'Cs1 Te1 H2 Ru1'
_symmetry_space_group_name_H-M 'P 4/m m m'
_symmetry_Int_Tables_number 123
_symmetry_space_group_name_Hall '-P 4 2'
_cell_length_a 4.264
_cell_length_b 4.264
_cell_length_c 5.186
_cell_angle_alpha 90.00
_cell_angle_beta 90.00
_cell_angle_gamma 90.00
loop_
_atom_site_label
_atom_site_fract_x
_atom_site_fract_y
_atom_site_fract_z
Cs1 0.000 0.000 0.000
Te1 0.500 0.500 0.500
H1 0.000 0.500 0.500
Ru1 0.500 0.500 0.000

---

# CsTlHRu2, relaxed, DFT GGA-PBE
# Raw total energy ... -3.750 eV/atom
data_CsTlHRu2
_chemical_formula_sum 'Cs1 Tl1 H1 Ru2'
_symmetry_space_group_name_H-M 'P 4/m m m'
_symmetry_Int_Tables_number 123
_symmetry_space_group_name_Hall '-P 4 2'
_cell_length_a 4.350
_cell_length_b 4.350
_cell_length_c 5.316
_cell_angle_alpha 90.00
_cell_angle_beta 90.00
_cell_angle_gamma 90.00
loop_
_atom_site_label
_atom_site_fract_x
_atom_site_fract_y
_atom_site_fract_z
Cs1 0.000 0.000 0.000
Tl1 0.500 0.500 0.000
H1 0.000 0.000 0.500
Ru1 0.000 0.500 0.500

---

# Cs2TlH6Ru, relaxed, DFT GGA-PBE
# Raw total energy ... -3.394 eV/atom
data_Cs2TlH6Ru
_chemical_formula_sum 'Cs2 Tl1 H6 Ru1'
_symmetry_space_group_name_H-M 'P -3 m 1'
_symmetry_Int_Tables_number 164
_symmetry_space_group_name_Hall '-P 3 2"'
_cell_length_a 6.4004
_cell_length_b 6.4004
_cell_length_c 5.4540
_cell_angle_alpha 90.00
_cell_angle_beta 90.00
_cell_angle_gamma 120.00
loop_
_atom_site_label
_atom_site_fract_x
_atom_site_fract_y
_atom_site_fract_z
Cs1 0.3333 0.6667 0.2383
Tl1 0.0000 0.0000 0.5000
H1 0.1416 0.2833 0.8635
Ru1 0.0000 0.0000 0.0000

---

# CsH2S, relaxed, DFT GGA-PBE
# Distance to the lowest polymorph of the same formula ... 1.148 eV/atom
# Raw total energy ... -2.146 eV/atom
data_CsH2S
_chemical_formula_sum 'Cs4 H8 S4'
_symmetry_space_group_name_H-M 'F m -3 m'
_symmetry_Int_Tables_number 225
_symmetry_space_group_name_Hall '-F 4 2 3'
_cell_length_a 6.788
_cell_length_b 6.788
_cell_length_c 6.788
_cell_angle_alpha 90.00
_cell_angle_beta 90.00
_cell_angle_gamma 90.00
loop_
_atom_site_label
_atom_site_fract_x
_atom_site_fract_y
_atom_site_fract_z
Cs1 0.000 0.000 0.000
H1 0.250 0.250 0.250
S1 0.000 0.000 0.500

---

# CsHS, relaxed, DFT GGA-PBE
# Raw total energy ... -3.561 eV/atom
data_CsHS
_chemical_formula_sum 'Cs4 H4 S4'
_symmetry_space_group_name_H-M 'P n m a'
_symmetry_Int_Tables_number 62
_symmetry_space_group_name_Hall '-P 2ac 2n'
_cell_length_a 8.689
_cell_length_b 5.159
_cell_length_c 10.574
_cell_angle_alpha 90.00
_cell_angle_beta 90.00
_cell_angle_gamma 90.00
loop_
_atom_site_label
_atom_site_fract_x
_atom_site_fract_y
_atom_site_fract_z
Cs1 0.114 0.250 0.157
H1 0.189 0.750 0.378
S1 0.174 0.250 0.818